## Li5Re3N3 (PBE)

Data for Li5Re3N3 after structural relaxation.

a = 5.922 Å, b = 5.922 Å, c = 3.895 Å
α = 90.00°, β = 90.00°, γ = 120.00°
Fractional positions:
Li 0.000 0.253 0.000
Li 0.253 0.000 0.000
Li 0.333 0.667 0.000
Li 0.667 0.333 0.000
Li 0.747 0.747 0.000
Re 0.000 0.596 0.500
Re 0.404 0.404 0.500
Re 0.596 0.000 0.500
N 0.000 0.614 0.000
N 0.386 0.386 0.000
N 0.614 0.000 0.000

Theoretical density in Mg/m³: 8.9
Space-group type: P-62m (189)
Uncorrected energy in eV per atom: -6.6430